(1)
# PmErSc2Bi4

PmErSc2Bi4 after structural relaxation (PBE-GGA, the Alexandria database).

Cell lengths 4.3967, 7.6108, 7.6010 Å; angles 109.51, 90.00, 90.00 degrees
With the nearest neighbours (Å) after each atom.
Fractional coordinates of all 8 atoms:
Pm  0.0000  0.0000  0.0000  6 Bi 3.20
Er  0.5000  0.5000  0.0000  6 Bi 3.16
Sc  0.5000  0.0000  0.5000  6 Bi 3.06
Sc  0.0000  0.5000  0.5000  6 Bi 3.02
Bi  0.5000  0.2603  0.2684  3 Sc 3.02-3.06, 1 Er 3.16, 2 Pm 3.20
Bi  0.5000  0.7397  0.7316  3 Sc 3.02-3.06, 1 Er 3.16, 2 Pm 3.20
Bi  0.0000  0.2490  0.7345  3 Sc 3.02-3.06, 2 Er 3.16, 1 Pm 3.20
Bi  0.0000  0.7510  0.2655  3 Sc 3.02-3.06, 2 Er 3.16, 1 Pm 3.20

Computed properties:
Space-group type ... P2/m, No. 10
Density of states at the Fermi level ... 1.46 states/eV/cell
Total DFT energy (no corrections) ... -5.4465 eV/atom



(2)
# PmEr2ScBi4

PmEr2ScBi4 after structural relaxation (PBE-GGA, the Alexandria database).

Cell lengths 4.4455, 7.6896, 7.6953 Å; angles 109.49, 90.00, 90.00 degrees
With the nearest neighbours (Å) after each atom.
Fractional coordinates of all 8 atoms:
Pm  0.0000  0.0000  0.0000  6 Bi 3.18
Er  0.5000  0.0000  0.5000  6 Bi 3.19
Er  0.0000  0.5000  0.5000  6 Bi 3.10
Sc  0.5000  0.5000  0.0000  6 Bi 3.09
Bi  0.5000  0.2601  0.2521  1 Sc 3.09, 3 Er 3.10-3.19, 2 Pm 3.18
Bi  0.5000  0.7399  0.7479  1 Sc 3.09, 3 Er 3.10-3.19, 2 Pm 3.18
Bi  0.0000  0.2610  0.7548  2 Sc 3.09, 3 Er 3.10-3.19, 1 Pm 3.18
Bi  0.0000  0.7390  0.2452  2 Sc 3.09, 3 Er 3.10-3.19, 1 Pm 3.18

Computed properties:
Space-group type ... P2/m, No. 10
Density of states at the Fermi level ... 1.36 states/eV/cell
Total DFT energy (no corrections) ... -5.2543 eV/atom



(3)
# PmSmEr2Bi4

PmSmEr2Bi4 after structural relaxation (PBE-GGA, the Alexandria database).

Cell lengths 4.5127, 7.8024, 7.8108 Å; angles 70.51, 90.00, 90.00 degrees
With the nearest neighbours (Å) after each atom.
Fractional coordinates of all 8 atoms:
Pm  0.5000  0.5000  0.0000  6 Bi 3.23
Sm  0.0000  0.5000  0.5000  6 Bi 3.22
Er  0.0000  0.0000  0.0000  6 Bi 3.16
Er  0.5000  0.0000  0.5000  6 Bi 3.15
Bi  0.0000  0.7586  0.7465  3 Er 3.15-3.16, 1 Sm 3.22, 2 Pm 3.23
Bi  0.0000  0.2414  0.2535  3 Er 3.15-3.16, 1 Sm 3.22, 2 Pm 3.23
Bi  0.5000  0.7582  0.2479  3 Er 3.15-3.16, 2 Sm 3.22, 1 Pm 3.23
Bi  0.5000  0.2418  0.7521  3 Er 3.15-3.16, 2 Sm 3.22, 1 Pm 3.23

Computed properties:
Space-group type ... P2/m, No. 10
Density of states at the Fermi level ... 1.24 states/eV/cell
Total DFT energy (no corrections) ... -5.1356 eV/atom



(4)
# PmSm2ErBi4

PmSm2ErBi4 after structural relaxation (PBE-GGA, the Alexandria database).

Cell lengths 4.5393, 7.8561, 7.8573 Å; angles 109.48, 90.00, 90.00 degrees
With the nearest neighbours (Å) after each atom.
Fractional coordinates of all 8 atoms:
Pm  0.0000  0.0000  0.0000  6 Bi 3.21
Sm  0.5000  0.0000  0.5000  6 Bi 3.24
Sm  0.0000  0.5000  0.5000  6 Bi 3.20
Er  0.5000  0.5000  0.0000  6 Bi 3.17-3.18
Bi  0.5000  0.2535  0.2483  1 Er 3.17, 3 Sm 3.20-3.24, 2 Pm 3.21
Bi  0.5000  0.7465  0.7517  1 Er 3.17, 3 Sm 3.20-3.24, 2 Pm 3.21
Bi  0.0000  0.2556  0.7546  2 Er 3.18, 3 Sm 3.20-3.24, 1 Pm 3.21
Bi  0.0000  0.7444  0.2454  2 Er 3.18, 3 Sm 3.20-3.24, 1 Pm 3.21

Computed properties:
Space-group type ... P2/m, No. 10
Density of states at the Fermi level ... 1.21 states/eV/cell
Total DFT energy (no corrections) ... -5.1817 eV/atom



(5)
# PmSm2Er3Bi6

PmSm2Er3Bi6 after structural relaxation (PBE-GGA, the Alexandria database).

Cell lengths 4.5074, 9.0093, 10.0709 Å; angles 102.80, 102.93, 90.00 degrees
With the nearest neighbours (Å) after each atom.
Fractional coordinates of all 12 atoms:
Pm  0.5000  0.0000  0.0000  6 Bi 3.23
Sm  0.8332  0.6669  0.6664  6 Bi 3.22
Sm  0.1668  0.3331  0.3336  6 Bi 3.22
Er  0.5000  0.5000  0.0000  6 Bi 3.15
Er  0.8336  0.1671  0.6671  6 Bi 3.15
Er  0.1664  0.8329  0.3329  6 Bi 3.15
Bi  0.3312  0.9211  0.6624  3 Er 3.15, 2 Sm 3.22, 1 Pm 3.23
Bi  0.6649  0.5873  0.3298  3 Er 3.15, 3 Sm 3.22
Bi  0.6688  0.0789  0.3376  3 Er 3.15, 2 Sm 3.22, 1 Pm 3.23
Bi  0.9984  0.2553  0.9969  3 Er 3.15, 1 Sm 3.22, 2 Pm 3.23
Bi  0.0016  0.7447  0.0031  3 Er 3.15, 1 Sm 3.22, 2 Pm 3.23
Bi  0.3351  0.4127  0.6702  3 Er 3.15, 3 Sm 3.22

Computed properties:
Space-group type ... C2/m, No. 12
Density of states at the Fermi level ... 2.00 states/eV/cell
Total DFT energy (no corrections) ... -5.1337 eV/atom



(6)
# Pm3Sm2ErBi6

Pm3Sm2ErBi6 after structural relaxation (PBE-GGA, the Alexandria database).

Cell lengths 4.5519, 9.0985, 10.1712 Å; angles 102.87, 102.93, 90.00 degrees
With the nearest neighbours (Å) after each atom.
Fractional coordinates of all 12 atoms:
Pm  0.5000  0.5000  0.0000  6 Bi 3.22-3.26
Pm  0.8323  0.1663  0.6645  6 Bi 3.22-3.25
Pm  0.1677  0.8337  0.3355  6 Bi 3.22-3.25
Sm  0.8339  0.6672  0.6679  6 Bi 3.21-3.22
Sm  0.1661  0.3328  0.3321  6 Bi 3.21-3.22
Er  0.5000  0.0000  0.0000  6 Bi 3.17-3.18
Bi  0.3359  0.9173  0.6718  1 Er 3.17, 2 Sm 3.21, 3 Pm 3.22-3.25
Bi  0.6671  0.5825  0.3342  3 Sm 3.21-3.22, 3 Pm 3.22
Bi  0.6641  0.0827  0.3282  1 Er 3.17, 2 Sm 3.21, 3 Pm 3.22-3.25
Bi  0.9996  0.2437  0.9993  2 Er 3.18, 1 Sm 3.21, 3 Pm 3.23-3.26
Bi  0.0004  0.7563  0.0007  2 Er 3.18, 1 Sm 3.21, 3 Pm 3.23-3.26
Bi  0.3329  0.4175  0.6658  3 Sm 3.21-3.22, 3 Pm 3.22

Computed properties:
Space-group type ... C2/m, No. 12
Density of states at the Fermi level ... 2.03 states/eV/cell
Total DFT energy (no corrections) ... -5.2073 eV/atom